w) SmErAg: relaxed, GGA-PBE.

Calculated values
**Total moment**: 0.00 Bohr magnetons per cell
**DOS(E_F)**: 4.3 states/eV/f.u.

abc: 4.775 4.775 7.491
angles: 90.00 90.00 90.00
Positions (direct):
Sm: 0.250 0.250 0.129
Sm: 0.750 0.750 0.871
Er: 0.250 0.750 0.500
Er: 0.750 0.250 0.500
Ag: 0.250 0.250 0.741
Ag: 0.750 0.750 0.259

---

x) SmErAg: relaxed, GGA-PBE.

Calculated values
**Total moment**: 0.00 Bohr magnetons per cell
**DOS(E_F)**: 2.8 states/eV/f.u.

abc: 5.062 5.062 3.705
angles: 90.00 90.00 120.00
Positions (direct):
Sm: 0.000 0.000 0.000
Er: 0.333 0.667 0.540
Ag: 0.667 0.333 0.329

---

y) SmErAg: relaxed, GGA-PBE.

Calculated values
**Total moment**: 0.45 Bohr magnetons per cell
**DOS(E_F)**: 4.0 states/eV/f.u.

abc: 6.843 6.843 6.843
angles: 149.52 149.52 43.64
Positions (direct):
Sm: 0.000 0.000 0.000
Er: 0.298 0.298 0.000
Ag: 0.660 0.660 0.000

---

z) SmErAg: relaxed, GGA-PBE.

Calculated values
**Total moment**: 0.00 Bohr magnetons per cell
**DOS(E_F)**: 4.2 states/eV/f.u.

abc: 5.057 5.057 5.057
angles: 120.14 119.93 89.94
Positions (direct):
Sm: 0.000 0.000 0.000
Er: 0.500 0.500 0.000
Ag: 0.250 0.750 0.500

---

Preferred: y); penalty for the next structure: 48 meV per atom.

---

w) SmEr4Ag: relaxed, GGA-PBE.

Calculated values
**Total moment**: 0.00 Bohr magnetons per cell
**DOS(E_F)**: 8.1 states/eV/f.u.

abc: 3.537 3.537 13.839
angles: 90.00 90.00 90.00
Positions (direct):
Sm: 0.000 0.000 0.000
Er: 0.000 0.000 0.364
Er: 0.000 0.000 0.636
Er: 0.500 0.500 0.183
Er: 0.500 0.500 0.817
Ag: 0.500 0.500 0.500

---

x) SmEr4Ag: relaxed, GGA-PBE.

Calculated values
**Total moment**: 0.00 Bohr magnetons per cell
**DOS(E_F)**: 9.2 states/eV/f.u.

abc: 10.783 10.783 6.429
angles: 90.00 90.00 151.09
Positions (direct):
Sm: 0.136 0.864 0.500
Sm: 0.864 0.136 0.000
Er: 0.067 0.933 0.008
Er: 0.259 0.741 0.130
Er: 0.325 0.675 0.641
Er: 0.465 0.535 0.846
Er: 0.535 0.465 0.346
Er: 0.675 0.325 0.141
Er: 0.741 0.259 0.630
Er: 0.933 0.067 0.508
Ag: 0.398 0.602 0.254
Ag: 0.602 0.398 0.754

---

Preferred: w); penalty for the next structure: 132 meV per atom.

---

w) TbSmErAg: relaxed, GGA-PBE.

Calculated values
**Total moment**: 0.00 Bohr magnetons per cell
**DOS(E_F)**: 3.7 states/eV/f.u.

abc: 5.403 5.403 5.403
angles: 60.00 60.00 60.00
Positions (direct):
Tb: 0.000 0.000 0.000
Sm: 0.500 0.500 0.500
Er: 0.750 0.750 0.750
Ag: 0.250 0.250 0.250

---

x) TbSmErAg: relaxed, GGA-PBE.

Calculated values
**Total moment**: 0.00 Bohr magnetons per cell
**DOS(E_F)**: 4.8 states/eV/f.u.

abc: 3.590 3.590 8.819
angles: 90.00 90.00 90.00
Positions (direct):
Tb: 0.000 0.000 0.000
Sm: 0.500 0.500 0.292
Er: 0.000 0.000 0.580
Ag: 0.500 0.500 0.783

---

Preferred: x); penalty for the next structure: 190 meV per atom.

---

w) SmErTmAg: relaxed, GGA-PBE.

Calculated values
**Total moment**: 0.00 Bohr magnetons per cell
**DOS(E_F)**: 3.4 states/eV/f.u.

abc: 5.372 5.372 5.372
angles: 60.00 60.00 60.00
Positions (direct):
Sm: 0.000 0.000 0.000
Er: 0.500 0.500 0.500
Tm: 0.750 0.750 0.750
Ag: 0.250 0.250 0.250

---

x) SmErTmAg: relaxed, GGA-PBE.

Calculated values
**Total moment**: 0.00 Bohr magnetons per cell
**DOS(E_F)**: 4.9 states/eV/f.u.

abc: 3.556 3.556 8.820
angles: 90.00 90.00 90.00
Positions (direct):
Sm: 0.000 0.000 0.000
Er: 0.500 0.500 0.709
Tm: 0.500 0.500 0.289
Ag: 0.000 0.000 0.497

---

Preferred: x); penalty for the next structure: 190 meV per atom.

---

w) ErAgSn2: relaxed, GGA-PBE.

Calculated values
**Total moment**: 0.00 Bohr magnetons per cell
**DOS(E_F)**: 2.3 states/eV/f.u.

abc: 10.822 10.822 10.822
angles: 18.12 18.12 18.12
Positions (direct):
Er: 0.000 0.000 0.000
Ag: 0.500 0.500 0.500
Sn: 0.097 0.097 0.097
Sn: 0.903 0.903 0.903

---

x) ErAgSn2: relaxed, GGA-PBE.

Calculated values
**Total moment**: 0.00 Bohr magnetons per cell
**DOS(E_F)**: 1.4 states/eV/f.u.

abc: 4.644 4.644 4.367
angles: 90.00 90.00 90.00
Positions (direct):
Er: 0.000 0.000 0.000
Ag: 0.500 0.500 0.000
Sn: 0.000 0.500 0.500
Sn: 0.500 0.000 0.500

---

Preferred: x); penalty for the next structure: 490 meV per atom.

---

w) ErAg4Sn: relaxed, GGA-PBE.

Calculated values
**Total moment**: 0.00 Bohr magnetons per cell
**DOS(E_F)**: 5.0 states/eV/f.u.

abc: 5.615 5.615 5.615
angles: 60.00 60.00 60.00
Positions (direct):
Er: 0.000 0.000 0.000
Ag: 0.375 0.375 0.375
Ag: 0.375 0.375 0.876
Ag: 0.375 0.876 0.375
Ag: 0.876 0.375 0.375
Sn: 0.750 0.750 0.750

---

x) ErAg4Sn: relaxed, GGA-PBE.

Calculated values
**Total moment**: 0.00 Bohr magnetons per cell
**DOS(E_F)**: 1.6 states/eV/f.u.

abc: 4.854 4.854 6.172
angles: 90.00 90.00 120.00
Positions (direct):
Er: 0.000 0.000 0.000
Ag: 0.333 0.667 0.247
Ag: 0.333 0.667 0.753
Ag: 0.667 0.333 0.247
Ag: 0.667 0.333 0.753
Sn: 0.000 0.000 0.500

---

Preferred: x); penalty for the next structure: 28 meV per atom.